# 1
Density functional theory data (PBE-GGA) for a relaxed CaCuP2 crystal.

Values from the calculation:
ΔE_f = -0.53 eV/atom
space-group type = P2/m, No. 10
total moment = 0.00 μB per cell

Cell: 3.733 4.144 5.125 Å, 90.16 90.00 90.00°
Fractional coordinates of all 4 atoms:
1 Ca 0.500 0.250 0.250
2 Cu 0.500 0.750 0.750
3 P 0.000 0.749 0.028
4 P 0.000 0.751 0.472

# 2
Density functional theory data (PBE-GGA) for a relaxed Ho11Hg9Rh4 crystal.

Values from the calculation:
ΔE_f = -0.63 eV/atom
space-group type = Cmmm, No. 65
total moment = 0.00 μB per cell

Cell: 3.662 12.898 12.898 Å, 112.45 90.00 90.00°
Fractional coordinates of all 24 atoms:
1 Ho 0.000 0.584 0.917
2 Ho 0.000 0.416 0.083
3 Ho 0.000 0.917 0.584
4 Ho 0.000 0.083 0.416
5 Ho 0.000 0.633 0.367
6 Ho 0.000 0.367 0.633
7 Ho 0.000 0.834 0.166
8 Ho 0.000 0.166 0.834
9 Ho 0.000 0.000 0.000
10 Ho 0.000 0.704 0.704
11 Ho 0.000 0.296 0.296
12 Hg 0.500 0.630 0.149
13 Hg 0.500 0.370 0.851
14 Hg 0.500 0.149 0.630
15 Hg 0.500 0.851 0.370
16 Hg 0.500 0.788 0.939
17 Hg 0.500 0.212 0.061
18 Hg 0.500 0.939 0.788
19 Hg 0.500 0.061 0.212
20 Hg 0.500 0.500 0.500
21 Rh 0.500 0.549 0.743
22 Rh 0.500 0.451 0.257
23 Rh 0.500 0.743 0.549
24 Rh 0.500 0.257 0.451

# 3
Density functional theory data (PBE-GGA) for a relaxed ErLuPa crystal.

Values from the calculation:
excess energy over the best structure of this formula in the dataset = 0.000 eV per atom
ΔE_f = 0.10 eV/atom
space-group type = P3m1, No. 156
total moment = 0.00 μB per cell

Cell: 3.389 3.389 8.402 Å, 90.00 90.00 120.00°
Fractional coordinates of all 3 atoms:
1 Pa 0.000 0.000 0.001
2 Lu 0.667 0.333 0.322
3 Er 0.333 0.667 0.677

# 4
Density functional theory data (PBE-GGA) for a relaxed Mg2Ir2W crystal.

Values from the calculation:
ΔE_f = -0.06 eV/atom
space-group type = P4/mbm, No. 127
total moment = 0.00 μB per cell

Cell: 6.505 6.505 4.221 Å, 90.00 90.00 90.00°
Fractional coordinates of all 10 atoms:
1 Mg 0.173 0.673 0.500
2 Mg 0.673 0.827 0.500
3 Mg 0.827 0.327 0.500
4 Mg 0.327 0.173 0.500
5 Ir 0.366 0.866 0.000
6 Ir 0.866 0.634 0.000
7 Ir 0.634 0.134 0.000
8 Ir 0.134 0.366 0.000
9 W 0.000 0.000 0.000
10 W 0.500 0.500 0.000

# 5
Density functional theory data (PBE-GGA) for a relaxed Th2Cd6Au3 crystal.

Values from the calculation:
ΔE_f = -0.24 eV/atom
space-group type = P-62m, No. 189
total moment = 0.00 μB per cell

Cell: 4.209 8.487 8.487 Å, 120.00 90.00 90.00°
Fractional coordinates of all 11 atoms:
1 Th 0.000 0.667 0.333
2 Th 0.000 0.333 0.667
3 Cd 0.500 0.723 0.723
4 Cd 0.500 0.000 0.277
5 Cd 0.000 0.197 0.197
6 Cd 0.000 0.803 0.000
7 Cd 0.500 0.277 0.000
8 Cd 0.000 0.000 0.803
9 Au 0.500 0.407 0.407
10 Au 0.500 0.593 0.000
11 Au 0.500 0.000 0.593

# 6
Density functional theory data (PBE-GGA) for a relaxed LuHf crystal.

Values from the calculation:
ΔE_f = 0.06 eV/atom
space-group type = Pmmn, No. 59
total moment = 0.00 μB per cell

Cell: 3.319 5.183 5.871 Å, 90.00 90.00 90.00°
Fractional coordinates of all 4 atoms:
1 Lu 0.250 0.750 0.097
2 Lu 0.750 0.250 0.903
3 Hf 0.750 0.750 0.574
4 Hf 0.250 0.250 0.426

# 7
Density functional theory data (PBE-GGA) for a relaxed FeIrI2 crystal.

Values from the calculation:
excess energy over the best structure of this formula in the dataset = 0.000 eV per atom
formation energy from raw total energies = 0.89 eV/atom
space-group type = I-42d, No. 122
total moment = 0.00 μB per cell

Cell: 5.859 5.859 7.138 Å, 65.77 65.77 90.00°
Fractional coordinates of all 8 atoms:
1 I 0.605 0.125 0.250
2 I 0.145 0.625 0.250
3 I 0.375 0.395 0.750
4 I 0.875 0.855 0.750
5 Ir 0.000 0.000 0.000
6 Ir 0.750 0.250 0.500
7 Fe 0.500 0.500 0.000
8 Fe 0.250 0.750 0.500

# 8
Density functional theory data (PBE-GGA) for a relaxed BaSrY3 crystal.

Values from the calculation:
excess energy over the best structure of this formula in the dataset = 0.000 eV per atom
ΔE_f = 0.75 eV/atom
space-group type = Pm-3m, No. 221
total moment = 0.00 μB per cell

Cell: 5.882 5.882 5.882 Å, 90.00 90.00 90.00°
Fractional coordinates of all 5 atoms:
1 Y 0.000 0.500 0.000
2 Y 0.000 0.000 0.500
3 Y 0.500 0.000 0.000
4 Sr 0.500 0.500 0.500
5 Ba 0.000 0.000 0.000

# 9
Density functional theory data (PBE-GGA) for a relaxed BaFe2Re crystal.

Values from the calculation:
excess energy over the best structure of this formula in the dataset = 0.184 eV per atom
ΔE_f = 0.66 eV/atom
space-group type = P4/mmm, No. 123
total moment = 4.19 μB per cell

Cell: 3.206 3.206 7.557 Å, 90.00 90.00 90.00°
Each line ends with the local moment (μB).
Fractional coordinates of all 4 atoms:
1 Ba 0.500 0.500 0.750  -0.12
2 Fe 0.000 0.000 0.093  2.25
3 Fe 0.000 0.000 0.407  2.25
4 Re 0.500 0.500 0.250  -0.12

# 10
Density functional theory data (PBE-GGA) for a relaxed TmScMo crystal.

Values from the calculation:
excess energy over the best structure of this formula in the dataset = 0.038 eV per atom
ΔE_f = 0.23 eV/atom
space-group type = Pnma, No. 62
total moment = 0.00 μB per cell

Cell: 4.884 6.057 9.388 Å, 90.00 90.00 90.00°
Fractional coordinates of all 12 atoms:
1 Sc 0.750 0.135 0.710
2 Sc 0.250 0.635 0.790
3 Sc 0.250 0.865 0.290
4 Sc 0.750 0.365 0.210
5 Mo 0.750 0.065 0.432
6 Mo 0.250 0.565 0.068
7 Mo 0.250 0.935 0.568
8 Mo 0.750 0.435 0.932
9 Tm 0.750 0.642 0.568
10 Tm 0.250 0.142 0.932
11 Tm 0.250 0.358 0.432
12 Tm 0.750 0.858 0.068

# 11
Density functional theory data (PBE-GGA) for a relaxed Hf2TiGaN crystal.

Values from the calculation:
formation energy from raw total energies = -0.88 eV/atom
space-group type = P4/mmm, No. 123
total moment = 0.00 μB per cell

Cell: 4.451 4.451 4.021 Å, 90.00 90.00 90.00°
Fractional coordinates of all 5 atoms:
1 N 0.000 0.000 0.000
2 Hf 0.000 0.500 0.000
3 Hf 0.500 0.000 0.000
4 Ga 0.500 0.500 0.500
5 Ti 0.000 0.000 0.500

# 12
Density functional theory data (PBE-GGA) for a relaxed PmSm2DyTm4 crystal.

Values from the calculation:
ΔE_f = 0.43 eV/atom
space-group type = Imma, No. 74
total moment = 5.71 μB per cell

Cell: 9.471 9.471 11.739 Å, 128.30 128.30 88.61°
Each line ends with the local moment (μB).
Fractional coordinates of all 16 atoms:
1 Pm 0.000 0.500 0.000  0.23
2 Pm 0.000 0.500 0.500  0.23
3 Sm 0.500 0.000 0.000  0.22
4 Sm 0.500 0.000 0.500  0.22
5 Sm 0.000 0.000 0.500  0.23
6 Sm 0.500 0.500 0.000  0.23
7 Dy 0.500 0.500 0.500  0.28
8 Dy 0.000 0.000 0.000  0.28
9 Tm 0.248 0.752 0.000  0.27
10 Tm 0.748 0.252 0.500  0.27
11 Tm 0.252 0.748 0.500  0.27
12 Tm 0.752 0.248 0.000  0.27
13 Tm 0.750 0.751 0.998  0.28
14 Tm 0.749 0.750 0.502  0.28
15 Tm 0.251 0.250 0.498  0.28
16 Tm 0.250 0.249 0.002  0.28

# 13
Density functional theory data (PBE-GGA) for a relaxed TlAg3Te2 crystal.

Values from the calculation:
excess energy over the best structure of this formula in the dataset = 0.248 eV per atom
formation energy from raw total energies = 0.10 eV/atom
space-group type = Cmmm, No. 65
total moment = 0.00 μB per cell

Cell: 8.231 8.231 4.460 Å, 90.00 90.00 150.90°
Fractional coordinates of all 6 atoms:
1 Tl 0.000 0.000 0.000
2 Te 0.153 0.847 0.500
3 Te 0.847 0.153 0.500
4 Ag 0.320 0.680 0.000
5 Ag 0.680 0.320 0.000
6 Ag 0.500 0.500 0.500

# 14
Density functional theory data (PBE-GGA) for a relaxed Tb2Dy13 crystal.

Values from the calculation:
excess energy over the best structure of this formula in the dataset = 0.115 eV per atom
ΔE_f = 0.16 eV/atom
space-group type = R-3m, No. 166
total moment = 0.00 μB per cell

Cell: 6.981 6.981 12.153 Å, 73.31 73.31 60.00°
Fractional coordinates of all 15 atoms:
1 Tb 0.294 0.294 0.119
2 Tb 0.706 0.706 0.881
3 Dy 0.500 0.500 0.500
4 Dy 0.709 0.209 0.873
5 Dy 0.209 0.209 0.873
6 Dy 0.209 0.709 0.873
7 Dy 0.791 0.291 0.127
8 Dy 0.291 0.791 0.127
9 Dy 0.791 0.791 0.127
10 Dy 0.543 0.046 0.365
11 Dy 0.046 0.046 0.365
12 Dy 0.046 0.543 0.365
13 Dy 0.954 0.457 0.635
14 Dy 0.457 0.954 0.635
15 Dy 0.954 0.954 0.635

# 15
Density functional theory data (PBE-GGA) for a relaxed AlH3I crystal.

Values from the calculation:
excess energy over the best structure of this formula in the dataset = 0.000 eV per atom
space-group type = Pmn2_1, No. 31
total moment = 0.00 μB per cell

Cell: 4.412 7.227 4.646 Å, 90.00 90.00 90.00°
Fractional coordinates of all 10 atoms:
1 Al 0.149 0.694 0.701
2 Al 0.649 0.659 0.201
3 H 0.472 0.430 0.201
4 H 0.415 0.755 0.950
5 H 0.915 0.598 0.449
6 H 0.972 0.923 0.700
7 H 0.915 0.598 0.952
8 H 0.415 0.755 0.452
9 I 0.427 0.347 0.701
10 I 0.927 0.006 0.201

# 16
Density functional theory data (PBE-GGA) for a relaxed NiIrW2 crystal.

Values from the calculation:
ΔE_f = -0.11 eV/atom
space-group type = Pmmm, No. 47
total moment = 0.00 μB per cell

Cell: 3.907 2.738 6.054 Å, 63.08 90.00 90.00°
Fractional coordinates of all 4 atoms:
1 Ni 0.500 0.750 0.750
2 Ir 0.500 0.250 0.250
3 W 0.000 0.006 0.996
4 W 0.000 0.494 0.504

# 17
Density functional theory data (PBE-GGA) for a relaxed NdGdSiHg crystal.

Values from the calculation:
formation energy from raw total energies = -0.47 eV/atom
space-group type = F-43m, No. 216
total moment = 7.44 μB per cell

Cell: 5.224 5.224 5.224 Å, 60.00 60.00 60.00°
Each line ends with the local moment (μB).
Fractional coordinates of all 4 atoms:
1 Si 0.500 0.500 0.500  0.04
2 Gd 0.250 0.250 0.250  -7.12
3 Nd 0.750 0.750 0.750  -0.11
4 Hg 0.000 0.000 0.000  0.00

# 18
Density functional theory data (PBE-GGA) for a relaxed Tb2ErTmSe5 crystal.

Values from the calculation:
formation energy from raw total energies = -1.15 eV/atom
space-group type = P4/mmm, No. 123
total moment = 0.01 μB per cell

Cell: 5.092 5.092 10.620 Å, 90.00 90.00 90.00°
Fractional coordinates of all 9 atoms:
1 Tb 0.500 0.500 0.335
2 Tb 0.500 0.500 0.665
3 Er 0.000 0.000 0.000
4 Tm 0.000 0.000 0.500
5 Se 0.000 0.500 0.500
6 Se 0.500 0.000 0.500
7 Se 0.000 0.000 0.754
8 Se 0.000 0.000 0.246
9 Se 0.500 0.500 0.000

# 19
Density functional theory data (PBE-GGA) for a relaxed Nd4Dy3 crystal.

Values from the calculation:
excess energy over the best structure of this formula in the dataset = 0.000 eV per atom
ΔE_f = 0.11 eV/atom
space-group type = C2/m, No. 12
total moment = 0.00 μB per cell

Cell: 5.985 9.219 5.650 Å, 112.66 121.99 89.99°
Fractional coordinates of all 7 atoms:
1 Nd 0.861 0.580 0.723
2 Nd 0.139 0.420 0.277
3 Nd 0.713 0.140 0.427
4 Nd 0.287 0.860 0.573
5 Dy 0.000 0.000 0.000
6 Dy 0.568 0.711 0.136
7 Dy 0.432 0.289 0.864

# 20
Density functional theory data (PBE-GGA) for a relaxed HgMoN3 crystal.

Values from the calculation:
formation energy from raw total energies = 0.92 eV/atom
space-group type = Pm-3m, No. 221
total moment = 0.05 μB per cell

Cell: 4.006 4.006 4.006 Å, 90.00 90.00 90.00°
Fractional coordinates of all 5 atoms:
1 Mo 0.000 0.000 0.000
2 Hg 0.500 0.500 0.500
3 N 0.000 0.500 0.000
4 N 0.000 0.000 0.500
5 N 0.500 0.000 0.000